An optimized crystal structure of KMnO2F. Source: Alexandria, functional PBE+U.

Geometry as POSCAR:
```
KMnO2F
1.0
4.5253 0.0000 0.0000
0.0000 4.5253 0.0000
0.0000 0.0000 4.5670
Mn O K F
1 2 1 1
direct
0.5000 0.5000 0.5000
0.5000 0.0000 0.0000
0.0000 0.5000 0.0000
0.0000 0.0000 0.0000
0.0000 0.0000 0.5000
```

- Total DFT energy (no corrections): -20.6 eV/cell
- Size of the total moment: 2.999 μB per cell
- Crystal system: tetragonal